Entry from Alexandria via LeMat-Bulk: an optimized crystal structure of LaSc5Ru6 (PBE).

Its formation energy is -44 kJ/mol of atoms. The volume is 414.9 Å³/cell.

It has space group Immm (No. 71), with a = 4.6066 Å, b = 6.5123 Å, c = 13.8293 Å, α = 90.00°, β = 90.00° and γ = 90.00°. The distinct sites, in fractional coordinates, are La at (0.0000, 0.0000, 0.0000), Sc at (0.0000, 0.0000, 0.3340), Sc at (0.0000, 0.5000, 0.0000), Sc at (0.0000, 0.5000, 0.3255), Ru at (0.0000, 0.2462, 0.5000) and Ru at (0.0000, 0.2522, 0.1676).